# 1
Material: Zr8AuN6
Method: DFT, PBE-GGA
State: optimized geometry

As for the space-group type: R-3 (148). The value obtained for the uncorrected formation energy is -16.74 eV per formula unit.

abc: 6.257 6.257 6.257
angles: 91.93 91.93 91.93
Positions (direct):
Zr1 0.735 0.735 0.735
Zr2 0.265 0.265 0.265
Zr3 0.604 0.862 0.286
Zr4 0.862 0.286 0.604
Zr5 0.286 0.604 0.862
Zr6 0.396 0.138 0.714
Zr7 0.138 0.714 0.396
Zr8 0.714 0.396 0.138
Au1 0.000 0.000 0.000
N1 0.613 0.420 0.808
N2 0.420 0.808 0.613
N3 0.808 0.613 0.420
N4 0.387 0.580 0.192
N5 0.580 0.192 0.387
N6 0.192 0.387 0.580

=====

# 2
Material: V2AgWS
Method: DFT, PBE-GGA
State: optimized geometry

As for the space-group type: P4/mmm (123). The value obtained for the uncorrected formation energy is 5.52 eV per formula unit.

abc: 4.860 4.487 4.860
angles: 90.00 90.00 90.00
Last column: magnetic moment on the atom in μB.
Positions (direct):
S1 0.000 0.500 0.000  0.03
Ag1 0.500 0.500 0.500  -0.02
W1 0.000 0.000 0.000  -0.41
V1 0.000 0.000 0.500  1.58
V2 0.500 0.000 0.000  2.14